1.
Compound: MgSc2Ta
Source: Alexandria
Functional: PBEsol
Structure: optimized geometry

Summary:
formation enthalpy at 0 K	0.05	eV per atom

Unit cell a=3.010 b=3.010 c=9.381 alpha=90.00 beta=90.00 gamma=90.00
Space group P4/mmm (No. 123)
Inequivalent atoms, fractional coordinates:
Mg1 0.000 0.000 0.000 (multiplicity 1)
Sc1 0.500 0.500 0.272 (multiplicity 2)
Ta1 0.000 0.000 0.500 (multiplicity 1)

---

2.
Compound: AlZn2Tc
Source: Alexandria
Functional: PBEsol
Structure: optimized geometry

Summary:
formation enthalpy at 0 K	-0.17	eV per atom

Unit cell a=3.641 b=3.641 c=8.268 alpha=90.00 beta=90.00 gamma=90.00
Space group I-4m2 (No. 119)
Inequivalent atoms, fractional coordinates:
Al1 0.000 0.000 0.000 (multiplicity 2)
Zn1 0.000 0.000 0.500 (multiplicity 2)
Zn2 0.000 0.500 0.250 (multiplicity 2)
Tc1 0.000 0.500 0.750 (multiplicity 2)

---

3.
Compound: LiIr2Ru
Source: Alexandria
Functional: PBEsol
Structure: optimized geometry

Summary:
formation enthalpy at 0 K	0.08	eV per atom
relative energy among the computed polymorphs	48	meV/atom

Unit cell a=2.678 b=3.818 c=5.155 alpha=90.00 beta=90.00 gamma=90.00
Space group Pmm2 (No. 25)
Inequivalent atoms, fractional coordinates:
Li1 0.000 0.000 0.000 (multiplicity 1)
Ir1 0.000 0.000 0.498 (multiplicity 1)
Ir2 0.500 0.500 0.772 (multiplicity 1)
Ru1 0.500 0.500 0.254 (multiplicity 1)

---

4.
Compound: Mg2TlAg
Source: Alexandria
Functional: PBEsol
Structure: optimized geometry

Summary:
formation enthalpy at 0 K	-0.08	eV per atom

Unit cell a=3.466 b=4.792 c=10.098 alpha=90.00 beta=90.00 gamma=90.00
Space group Imm2 (No. 44)
Inequivalent atoms, fractional coordinates:
Mg1 0.000 0.000 0.000 (multiplicity 2)
Mg2 0.000 0.500 0.228 (multiplicity 2)
Tl1 0.000 0.500 0.766 (multiplicity 2)
Ag1 0.000 0.000 0.506 (multiplicity 2)

---

5.
Compound: BaZrHg2
Source: Alexandria
Functional: PBEsol
Structure: optimized geometry

Summary:
formation enthalpy at 0 K	-0.01	eV per atom

Unit cell a=3.853 b=3.853 c=7.580 alpha=90.00 beta=90.00 gamma=90.00
Space group P4mm (No. 99)
Inequivalent atoms, fractional coordinates:
Ba1 0.000 0.000 0.000 (multiplicity 1)
Zr1 0.500 0.500 0.651 (multiplicity 1)
Hg1 0.000 0.000 0.504 (multiplicity 1)
Hg2 0.500 0.500 0.268 (multiplicity 1)

---

6.
Compound: Ta4Mo
Source: Alexandria
Functional: PBEsol
Structure: optimized geometry

Summary:
formation enthalpy at 0 K	-0.05	eV per atom
relative energy among the computed polymorphs	36	meV/atom

Unit cell a=13.337 b=4.567 c=2.832 alpha=90.00 beta=97.94 gamma=90.00
Space group C2/m (No. 12)
Inequivalent atoms, fractional coordinates:
Ta1 0.098 0.000 0.375 (multiplicity 4)
Ta2 0.199 0.500 0.806 (multiplicity 4)
Mo1 0.000 0.500 0.000 (multiplicity 2)

---

7.
Compound: Ca5Tl
Source: Alexandria
Functional: PBEsol
Structure: optimized geometry

Summary:
formation enthalpy at 0 K	-0.16	eV per atom
relative energy among the computed polymorphs	0	meV/atom

Unit cell a=13.190 b=3.903 c=9.024 alpha=90.00 beta=111.32 gamma=90.00
Space group C2/m (No. 12)
Inequivalent atoms, fractional coordinates:
Ca1 0.000 0.000 0.000 (multiplicity 2)
Ca2 0.138 0.500 0.362 (multiplicity 4)
Ca3 0.168 0.500 0.795 (multiplicity 4)
Tl1 0.000 0.000 0.500 (multiplicity 2)

---

8.
Compound: Ca2AsBr
Source: Alexandria
Functional: PBEsol
Structure: optimized geometry

Summary:
uncorrected formation energy	-1.34	eV/atom

Unit cell a=5.129 b=5.172 c=7.285 alpha=90.00 beta=90.00 gamma=90.00
Space group Immm (No. 71)
Inequivalent atoms, fractional coordinates:
Ca1 0.000 0.000 0.250 (multiplicity 4)
As1 0.000 0.500 0.000 (multiplicity 2)
Br1 0.000 0.500 0.500 (multiplicity 2)